Material: NbBr6O2
Method: DFT, PBE
State: relaxed

Structure (POSCAR):
```
NbBr6O2
1.0
7.613 0.000 0.000
0.000 10.410 0.000
0.000 0.000 9.845
Br O Nb
12 4 2
Direct
0.500 0.341 0.401
0.500 0.910 0.865
0.000 0.841 0.599
0.000 0.606 0.357
0.000 0.410 0.135
0.500 0.585 0.650
0.000 0.085 0.350
0.000 0.233 0.985
0.500 0.106 0.643
0.500 0.733 0.015
0.500 0.337 0.901
0.000 0.837 0.099
0.000 0.460 0.718
0.500 0.054 0.206
0.000 0.554 0.794
0.500 0.960 0.282
0.000 0.849 0.348
0.500 0.349 0.652
```

- Uncorrected formation energy: -0.26 eV per atom
- Volume: 780 Å³ per cell
- Electronic total energy: -32.39 eV/f.u.